Entry 1:
VASP calculation (PBE) on a relaxed LaScCr2 crystal.

Output
Volume = 21.709 A^3/atom
Offset from the most stable computed form = 79 meV/atom
Fermi-level density of states = 4.200 states/eV per cell
Space group = P4/mmm (123)
Total magnetization = 6.2 Bohr magnetons per cell
DFT formation energy = 0.446 eV/atom

a = 3.461 Å, b = 3.461 Å, c = 7.249 Å
α = 90.00°, β = 90.00°, γ = 90.00°
Atoms (fractional coordinates):
La 0.000 0.000 0.000
Sc 0.000 0.000 0.500
Cr 0.500 0.500 0.282
Cr 0.500 0.500 0.718



Entry 2:
VASP calculation (PBE) on a relaxed KBaP2 crystal.

Output
Volume = 37.048 A^3/atom
Offset from the most stable computed form = 664 meV/atom
Fermi-level density of states = 3.649 states/eV per cell
Space group = R-3m (166)
Total magnetization = 3.0 Bohr magnetons per cell
DFT formation energy = 0.019 eV/atom

a = 8.763 Å, b = 8.763 Å, c = 8.763 Å
α = 29.91°, β = 29.91°, γ = 29.91°
Atoms (fractional coordinates):
K 0.000 0.000 0.000
Ba 0.500 0.500 0.500
P 0.244 0.244 0.244
P 0.756 0.756 0.756



Which value of total magnetization does entry 1 give? 6.2 Bohr magnetons per cell



DFT formation energy of number 2 (KBaP2)? 0.019 eV/atom



Which formula does entry 1 have? LaScCr2



Which value of DFT formation energy does entry 2 give? 0.019 eV/atom